Entry from the Alexandria database: a geometry-optimized LiCrPO4 structure (GGA+U).

Structure (POSCAR):
```
LiCrPO4
1.0
5.1069 -0.0693 0.0608
2.1484 4.6523 0.0194
-0.0886 0.0096 6.4846
Li Cr P O
2 2 2 8
Cartesian
4.8424 3.0784 4.9193 Li
2.6623 1.5395 1.6446 Li
5.0480 -0.0448 3.3689 Cr
5.0222 -0.0458 6.4838 Cr
4.9379 2.8374 1.6714 P
2.2219 1.7167 4.8831 P
2.4659 3.3114 4.8883 O
5.6761 3.2608 2.9521 O
5.7176 3.2522 0.4131 O
3.4888 3.3713 1.6472 O
0.6673 1.3625 4.8651 O
2.8104 1.1601 6.1713 O
2.8420 1.1652 3.6077 O
4.9225 1.2307 1.6763 O
```

As for the raw total energy: -98.72 eV per cell. The polymorph energy (0 for the lowest one) comes out at 80 meV per atom. As for the density: 3.30 Mg/m³.